Computed, not measured: a relaxed Pm2Pr2NdEr2 crystal at the PBE-GGA level of DFT.

Unit cell a=3.5216 b=6.1329 c=11.9758 alpha=79.18 beta=90.00 gamma=106.69
Fractional coordinates of all 7 atoms:
Pm (0.7057, 0.4114, 0.6307)
Pm (0.2943, 0.5886, 0.3693)
Pr (0.6540, 0.3081, 0.9270)
Pr (0.3460, 0.6919, 0.0730)
Nd (0.0000, 0.0000, 0.5000)
Er (0.5906, 0.1812, 0.2267)
Er (0.4094, 0.8188, 0.7733)

Properties
Magnetic moment = 0.0 μB/f.u.
Formation energy = 145 meV/atom
Theoretical density = 7.18 g/cm³
Energy = -4.56 eV per atom
DOS(E_F) = 11.85 states/eV/f.u.
Space-group type = C2/m

---

Computed, not measured: a relaxed Ce2YMgP4 crystal at the PBE-GGA level of DFT.

Unit cell a=4.0594 b=6.8580 c=7.0259 alpha=69.68 beta=90.00 gamma=90.00
Fractional coordinates of all 8 atoms:
Ce (0.0000, 0.0000, 0.0000)
Ce (0.5000, 0.0000, 0.5000)
Y (0.5000, 0.5000, 0.0000)
Mg (0.0000, 0.5000, 0.5000)
P (0.0000, 0.7483, 0.7504)
P (0.0000, 0.2517, 0.2496)
P (0.5000, 0.7459, 0.2540)
P (0.5000, 0.2541, 0.7460)

Properties
Magnetic moment = 0.8 μB/f.u.
Formation energy = -1246 meV/atom
Theoretical density = 4.68 g/cm³
Energy = -6.44 eV per atom
DOS(E_F) = 7.19 states/eV/f.u.
Space-group type = P2/m